(1)
This record from the Alexandria database describes a relaxed structure of In2SbRu. The functional is PBE.

Summary:
As for the crystal system: monoclinic. As for the uncorrected energy: -18.24 eV per cell. Its space-group type is Pm. The uncorrected formation energy is 0.158 eV/atom.

Cell lengths 3.811, 4.461, 5.529 Å; angles 90.00, 110.04, 90.00 degrees
Element x y z (fractional)
In (0.000, 0.000, 0.000)
In (0.310, 0.500, 0.624)
Sb (0.720, 0.000, 0.443)
Ru (0.581, 0.500, 0.165)

---

(2)
This record from the Alexandria database describes a relaxed structure of In2SbRu. The functional is PBE.

Summary:
As for the crystal system: orthorhombic. As for the uncorrected energy: -17.40 eV per cell. Its space-group type is Cmmm. The uncorrected formation energy is 0.368 eV/atom.

Cell lengths 5.134, 5.134, 3.460 Å; angles 90.00, 90.00, 112.56 degrees
Element x y z (fractional)
In (0.000, 0.500, 0.000)
In (0.500, 0.000, 0.000)
Sb (0.000, 0.000, 0.500)
Ru (0.500, 0.500, 0.500)

---

(3)
This record from the Alexandria database describes a relaxed structure of InSb3Ru. The functional is PBE.

Summary:
As for the crystal system: cubic. As for the uncorrected energy: -16.60 eV per cell. Its space-group type is Pm-3m. Its energy above the most stable polymorph in this dataset is 6.01 eV/f.u. The uncorrected formation energy is 1.556 eV/atom.

Cell lengths 5.497, 5.497, 5.497 Å; angles 90.00, 90.00, 90.00 degrees
Element x y z (fractional)
In (0.000, 0.000, 0.000)
Sb (0.000, 0.000, 0.500)
Sb (0.000, 0.500, 0.000)
Sb (0.500, 0.000, 0.000)
Ru (0.500, 0.500, 0.500)

---

(4)
This record from the Alexandria database describes a relaxed structure of In2SbRu. The functional is PBE.

Summary:
As for the crystal system: trigonal. As for the uncorrected energy: -17.91 eV per cell. Its space-group type is R-3m. The uncorrected formation energy is 0.241 eV/atom.

Cell lengths 9.421, 9.421, 9.421 Å; angles 20.40, 20.40, 20.40 degrees
Element x y z (fractional)
In (0.237, 0.237, 0.237)
In (0.763, 0.763, 0.763)
Sb (0.000, 0.000, 0.000)
Ru (0.500, 0.500, 0.500)

---

(5)
This record from the Alexandria database describes a relaxed structure of InSb3Ru. The functional is PBE.

Summary:
As for the crystal system: cubic. As for the uncorrected energy: -22.61 eV per cell. Its space-group type is Pm-3m. Its energy above the most stable polymorph in this dataset is 0.00 eV/f.u. The uncorrected formation energy is 0.355 eV/atom.

Cell lengths 5.189, 5.189, 5.189 Å; angles 90.00, 90.00, 90.00 degrees
Element x y z (fractional)
In (0.000, 0.000, 0.000)
Sb (0.000, 0.500, 0.500)
Sb (0.500, 0.000, 0.500)
Sb (0.500, 0.500, 0.000)
Ru (0.500, 0.500, 0.500)

---

(6)
This record from the Alexandria database describes a relaxed structure of In2SbRu. The functional is PBE.

Summary:
As for the crystal system: monoclinic. As for the uncorrected energy: -17.60 eV per cell. Its space-group type is P2/m. The uncorrected formation energy is 0.318 eV/atom.

Cell lengths 3.534, 4.917, 5.268 Å; angles 90.00, 101.02, 90.00 degrees
Element x y z (fractional)
In (0.181, 0.000, 0.271)
In (0.819, 0.000, 0.729)
Sb (0.500, 0.500, 0.000)
Ru (0.500, 0.500, 0.500)

---

(7)
This record from the Alexandria database describes a relaxed structure of InSb12Ru4. The functional is PBE.

Summary:
As for the crystal system: cubic. As for the uncorrected energy: -91.80 eV per cell. Its space-group type is Im-3. The uncorrected formation energy is -0.147 eV/atom.

Cell lengths 8.152, 8.152, 8.152 Å; angles 109.47, 109.47, 109.47 degrees
Element x y z (fractional)
In (0.000, 0.000, 0.000)
Sb (0.158, 0.498, 0.340)
Sb (0.158, 0.818, 0.660)
Sb (0.182, 0.340, 0.842)
Sb (0.340, 0.158, 0.498)
Sb (0.340, 0.842, 0.182)
Sb (0.498, 0.340, 0.158)
Sb (0.502, 0.660, 0.842)
Sb (0.660, 0.158, 0.818)
Sb (0.660, 0.842, 0.502)
Sb (0.818, 0.660, 0.158)
Sb (0.842, 0.182, 0.340)
Sb (0.842, 0.502, 0.660)
Ru (0.000, 0.000, 0.500)
Ru (0.000, 0.500, 0.000)
Ru (0.500, 0.000, 0.000)
Ru (0.500, 0.500, 0.500)

---

(8)
This record from the Alexandria database describes a relaxed structure of InSbRu. The functional is PBE.

Summary:
As for the crystal system: tetragonal. As for the uncorrected energy: -16.13 eV per cell. Its space-group type is I4mm. The uncorrected formation energy is 0.001 eV/atom.

Cell lengths 6.801, 6.801, 6.801 Å; angles 153.10, 153.10, 38.41 degrees
Element x y z (fractional)
In (0.000, 0.000, 0.000)
Sb (0.735, 0.735, 0.000)
Ru (0.358, 0.358, 0.000)

---

(9)
This record from the Alexandria database describes a relaxed structure of InSbRu4. The functional is PBE.

Summary:
As for the crystal system: cubic. As for the uncorrected energy: -41.23 eV per cell. Its space-group type is F-43m. The uncorrected formation energy is 0.456 eV/atom.

Cell lengths 5.259, 5.259, 5.259 Å; angles 60.00, 60.00, 60.00 degrees
Element x y z (fractional)
In (0.000, 0.000, 0.000)
Sb (0.250, 0.250, 0.250)
Ru (0.126, 0.625, 0.625)
Ru (0.625, 0.126, 0.625)
Ru (0.625, 0.625, 0.126)
Ru (0.625, 0.625, 0.625)

---

(10)
This record from the Alexandria database describes a relaxed structure of In2SbRu. The functional is PBE.

Summary:
As for the crystal system: monoclinic. As for the uncorrected energy: -17.73 eV per cell. Its space-group type is C2/m. The uncorrected formation energy is 0.287 eV/atom.

Cell lengths 5.092, 5.092, 5.236 Å; angles 103.15, 103.15, 40.63 degrees
Element x y z (fractional)
In (0.232, 0.232, 0.213)
In (0.768, 0.768, 0.787)
Sb (0.000, 0.000, 0.500)
Ru (0.500, 0.500, 0.000)

---

(11)
This record from the Alexandria database describes a relaxed structure of InSbRu. The functional is PBE.

Summary:
As for the crystal system: hexagonal. As for the uncorrected energy: -47.35 eV per cell. Its space-group type is P-62m. The uncorrected formation energy is 0.117 eV/atom.

Cell lengths 7.629, 7.629, 3.563 Å; angles 90.00, 90.00, 120.00 degrees
Element x y z (fractional)
In (0.000, 0.728, 0.000)
In (0.272, 0.272, 0.000)
In (0.728, 0.000, 0.000)
Sb (0.000, 0.386, 0.500)
Sb (0.386, 0.000, 0.500)
Sb (0.614, 0.614, 0.500)
Ru (0.000, 0.000, 0.500)
Ru (0.333, 0.667, 0.000)
Ru (0.667, 0.333, 0.000)

---

(12)
This record from the Alexandria database describes a relaxed structure of In2SbRu. The functional is PBE.

Summary:
As for the crystal system: tetragonal. As for the uncorrected energy: -18.27 eV per cell. Its space-group type is P4/mmm. The uncorrected formation energy is 0.150 eV/atom.

Cell lengths 3.186, 3.186, 8.737 Å; angles 90.00, 90.00, 90.00 degrees
Element x y z (fractional)
In (0.000, 0.000, 0.188)
In (0.000, 0.000, 0.812)
Sb (0.500, 0.500, 0.500)
Ru (0.500, 0.500, 0.000)

---

(13)
This record from the Alexandria database describes a relaxed structure of In2SbRu. The functional is PBE.

Summary:
As for the crystal system: tetragonal. As for the uncorrected energy: -18.93 eV per cell. Its space-group type is P4mm. The uncorrected formation energy is -0.014 eV/atom.

Cell lengths 3.212, 3.212, 8.673 Å; angles 90.00, 90.00, 90.00 degrees
Element x y z (fractional)
In (0.000, 0.000, 0.000)
In (0.500, 0.500, 0.287)
Sb (0.500, 0.500, 0.673)
Ru (0.000, 0.000, 0.496)

---

(14)
This record from the Alexandria database describes a relaxed structure of InSbRu. The functional is PBE.

Summary:
As for the crystal system: hexagonal. As for the uncorrected energy: -15.23 eV per cell. Its space-group type is P-6m2. The uncorrected formation energy is 0.302 eV/atom.

Cell lengths 4.605, 4.605, 3.366 Å; angles 90.00, 90.00, 120.00 degrees
Element x y z (fractional)
In (0.000, 0.000, 0.000)
Sb (0.333, 0.667, 0.500)
Ru (0.667, 0.333, 0.500)

---

(15)
This record from the Alexandria database describes a relaxed structure of In2SbRu. The functional is PBE.

Summary:
As for the crystal system: trigonal. As for the uncorrected energy: -18.57 eV per cell. Its space-group type is R3m. The uncorrected formation energy is 0.075 eV/atom.

Cell lengths 9.206, 9.206, 9.206 Å; angles 21.45, 21.45, 21.45 degrees
Element x y z (fractional)
In (0.000, 0.000, 0.000)
In (0.238, 0.238, 0.238)
Sb (0.470, 0.470, 0.470)
Ru (0.740, 0.740, 0.740)

---

(16)
This record from the Alexandria database describes a relaxed structure of In2SbRu. The functional is PBE.

Summary:
As for the crystal system: tetragonal. As for the uncorrected energy: -17.39 eV per cell. Its space-group type is I4/mmm. The uncorrected formation energy is 0.372 eV/atom.

Cell lengths 5.397, 5.397, 5.397 Å; angles 132.78, 132.78, 69.00 degrees
Element x y z (fractional)
In (0.250, 0.750, 0.500)
In (0.750, 0.250, 0.500)
Sb (0.000, 0.000, 0.000)
Ru (0.500, 0.500, 0.000)

---

(17)
This record from the Alexandria database describes a relaxed structure of InSb2Ru2. The functional is PBE.

Summary:
As for the crystal system: tetragonal. As for the uncorrected energy: -28.17 eV per cell. Its space-group type is I4/mmm. Its energy above the most stable polymorph in this dataset is 0.95 eV/f.u. The uncorrected formation energy is 0.272 eV/atom.

Cell lengths 6.645, 6.645, 6.645 Å; angles 142.80, 142.80, 53.63 degrees
Element x y z (fractional)
In (0.000, 0.000, 0.000)
Sb (0.250, 0.750, 0.500)
Sb (0.750, 0.250, 0.500)
Ru (0.383, 0.383, 0.000)
Ru (0.617, 0.617, 0.000)

---

(18)
This record from the Alexandria database describes a relaxed structure of In2SbRu. The functional is PBE.

Summary:
As for the crystal system: tetragonal. As for the uncorrected energy: -31.87 eV per cell. Its space-group type is I-42d. The uncorrected formation energy is 0.735 eV/atom.

Cell lengths 7.766, 7.766, 7.766 Å; angles 131.38, 131.38, 71.21 degrees
Element x y z (fractional)
In (0.088, 0.625, 0.963)
In (0.375, 0.338, 0.463)
In (0.662, 0.125, 0.037)
In (0.875, 0.912, 0.537)
Sb (0.250, 0.750, 0.500)
Sb (0.500, 0.500, 0.000)
Ru (0.000, 0.000, 0.000)
Ru (0.750, 0.250, 0.500)

---

(19)
This record from the Alexandria database describes a relaxed structure of In2SbRu. The functional is PBE.

Summary:
As for the crystal system: orthorhombic. As for the uncorrected energy: -17.29 eV per cell. Its space-group type is Pmmm. The uncorrected formation energy is 0.397 eV/atom.

Cell lengths 3.586, 4.775, 4.966 Å; angles 90.00, 90.00, 90.00 degrees
Element x y z (fractional)
In (0.000, 0.000, 0.000)
In (0.500, 0.000, 0.500)
Sb (0.000, 0.500, 0.500)
Ru (0.500, 0.500, 0.000)

---

(20)
This record from the Alexandria database describes a relaxed structure of InSb2Ru2. The functional is PBE.

Summary:
As for the crystal system: tetragonal. As for the uncorrected energy: -58.25 eV per cell. Its space-group type is P4/mbm. Its energy above the most stable polymorph in this dataset is 0.00 eV/f.u. The uncorrected formation energy is 0.081 eV/atom.

Cell lengths 7.845, 7.845, 3.147 Å; angles 90.00, 90.00, 90.00 degrees
Element x y z (fractional)
In (0.000, 0.000, 0.000)
In (0.500, 0.500, 0.000)
Sb (0.149, 0.351, 0.500)
Sb (0.351, 0.851, 0.500)
Sb (0.649, 0.149, 0.500)
Sb (0.851, 0.649, 0.500)
Ru (0.141, 0.641, 0.000)
Ru (0.359, 0.141, 0.000)
Ru (0.641, 0.859, 0.000)
Ru (0.859, 0.359, 0.000)

---

(21)
This record from the Alexandria database describes a relaxed structure of InSbRu. The functional is PBE.

Summary:
As for the crystal system: cubic. As for the uncorrected energy: -16.10 eV per cell. Its space-group type is F-43m. The uncorrected formation energy is 0.013 eV/atom.

Cell lengths 4.525, 4.525, 4.525 Å; angles 60.00, 60.00, 60.00 degrees
Element x y z (fractional)
In (0.000, 0.000, 0.000)
Sb (0.500, 0.500, 0.500)
Ru (0.750, 0.750, 0.750)

---

(22)
This record from the Alexandria database describes a relaxed structure of In2SbRu. The functional is PBE.

Summary:
As for the crystal system: monoclinic. As for the uncorrected energy: -17.36 eV per cell. Its space-group type is C2/m. The uncorrected formation energy is 0.378 eV/atom.

Cell lengths 6.057, 6.057, 3.414 Å; angles 106.18, 106.18, 122.47 degrees
Element x y z (fractional)
In (0.000, 0.500, 0.000)
In (0.500, 0.000, 0.000)
Sb (0.000, 0.000, 0.000)
Ru (0.500, 0.500, 0.000)

---

(23)
This record from the Alexandria database describes a relaxed structure of InSb4Ru. The functional is PBE.

Summary:
As for the crystal system: cubic. As for the uncorrected energy: -23.78 eV per cell. Its space-group type is F-43m. The uncorrected formation energy is 0.787 eV/atom.

Cell lengths 6.173, 6.173, 6.173 Å; angles 60.00, 60.00, 60.00 degrees
Element x y z (fractional)
In (0.000, 0.000, 0.000)
Sb (0.375, 0.375, 0.375)
Sb (0.375, 0.375, 0.875)
Sb (0.375, 0.875, 0.375)
Sb (0.875, 0.375, 0.375)
Ru (0.750, 0.750, 0.750)

---

(24)
This record from the Alexandria database describes a relaxed structure of In2SbRu. The functional is PBE.

Summary:
As for the crystal system: tetragonal. As for the uncorrected energy: -17.46 eV per cell. Its space-group type is I-4m2. The uncorrected formation energy is 0.353 eV/atom.

Cell lengths 5.239, 5.239, 5.239 Å; angles 129.20, 129.20, 74.68 degrees
Element x y z (fractional)
In (0.000, 0.000, 0.000)
In (0.750, 0.250, 0.500)
Sb (0.500, 0.500, 0.000)
Ru (0.250, 0.750, 0.500)

---

(25)
This record from the Alexandria database describes a relaxed structure of In2SbRu. The functional is PBE.

Summary:
As for the crystal system: monoclinic. As for the uncorrected energy: -18.86 eV per cell. Its space-group type is Cm. The uncorrected formation energy is 0.004 eV/atom.

Cell lengths 5.154, 5.154, 6.676 Å; angles 110.73, 110.73, 36.32 degrees
Element x y z (fractional)
In (0.000, 0.000, 0.000)
In (0.177, 0.177, 0.659)
Sb (0.338, 0.338, 0.357)
Ru (0.732, 0.732, 0.019)

---

(26)
This record from the Alexandria database describes a relaxed structure of In2SbRu. The functional is PBE.

Summary:
As for the crystal system: orthorhombic. As for the uncorrected energy: -18.85 eV per cell. Its space-group type is Imm2. The uncorrected formation energy is 0.006 eV/atom.

Cell lengths 7.047, 7.047, 7.047 Å; angles 154.29, 142.18, 46.30 degrees
Element x y z (fractional)
In (0.000, 0.000, 0.000)
In (0.679, 0.179, 0.500)
Sb (0.321, 0.821, 0.500)
Ru (0.491, 0.491, 0.000)

---

(27)
This record from the Alexandria database describes a relaxed structure of InSbRu3. The functional is PBE.

Summary:
As for the crystal system: cubic. As for the uncorrected energy: -28.26 eV per cell. Its space-group type is Pm-3m. Its energy above the most stable polymorph in this dataset is 0.00 eV/f.u. The uncorrected formation energy is 1.286 eV/atom.

Cell lengths 4.805, 4.805, 4.805 Å; angles 90.00, 90.00, 90.00 degrees
Element x y z (fractional)
In (0.000, 0.000, 0.000)
Sb (0.500, 0.500, 0.500)
Ru (0.000, 0.500, 0.500)
Ru (0.500, 0.000, 0.500)
Ru (0.500, 0.500, 0.000)

---

(28)
This record from the Alexandria database describes a relaxed structure of In2SbRu2. The functional is PBE.

Summary:
As for the crystal system: tetragonal. As for the uncorrected energy: -55.41 eV per cell. Its space-group type is P4/mbm. The uncorrected formation energy is 0.089 eV/atom.

Cell lengths 6.860, 6.860, 4.097 Å; angles 90.00, 90.00, 90.00 degrees
Element x y z (fractional)
In (0.153, 0.347, 0.000)
In (0.347, 0.847, 0.000)
In (0.653, 0.153, 0.000)
In (0.847, 0.653, 0.000)
Sb (0.000, 0.000, 0.500)
Sb (0.500, 0.500, 0.500)
Ru (0.150, 0.650, 0.500)
Ru (0.350, 0.150, 0.500)
Ru (0.650, 0.850, 0.500)
Ru (0.850, 0.350, 0.500)